*P*
Density functional theory data (GGA-PBE) for a relaxed LaTb3Nd5 crystal.

The structure in extended XYZ format:
```
18
Lattice="7.712 -5.877 0.000 7.712 5.877 0.000 -6.343 0.000 7.675" Properties=species:S:1:pos:R:3 pbc="T T T"
La 1.182 0.000 3.213
La 7.899 0.000 4.462
Tb 0.000 0.000 0.000
Tb -2.026 0.000 2.697
Tb 6.503 0.000 1.370
Tb 4.541 0.000 3.838
Tb 2.578 0.000 6.305
Tb 11.107 0.000 4.978
Nd 3.895 2.933 2.002
Nd 3.170 0.000 0.416
Nd 7.712 2.886 0.000
Nd -0.702 0.000 5.922
Nd 5.186 2.933 5.673
Nd 3.895 -2.933 2.002
Nd 9.783 0.000 1.753
Nd 7.712 -2.886 0.000
Nd 5.911 0.000 7.260
Nd 5.186 -2.933 5.673
```

* total magnetization: 0.0 μB per cell

***

*Q*
Density functional theory data (GGA-PBE) for a relaxed LaTb3Nd5 crystal.

The structure in extended XYZ format:
```
18
Lattice="9.417 -3.265 0.000 9.417 3.265 0.000 -4.526 0.000 10.470" Properties=species:S:1:pos:R:3 pbc="T T T"
La 6.023 2.353 7.853
La 8.286 -2.353 2.618
Tb 0.000 0.000 0.000
Tb -2.263 0.000 5.235
Tb 4.175 1.306 5.080
Tb 12.396 1.306 0.155
Tb 1.912 -1.306 10.315
Tb 10.133 -1.306 5.390
Nd 5.624 2.103 1.402
Nd 2.660 1.309 8.282
Nd 10.948 2.103 3.833
Nd 8.286 0.661 2.618
Nd 9.386 1.309 7.423
Nd 4.923 -1.309 3.047
Nd 6.023 -0.661 7.853
Nd 3.361 -2.103 6.637
Nd 11.649 -1.309 2.188
Nd 8.685 -2.103 9.068
```

* total magnetization: 0.0 μB per cell

***

Name the most stable of them. *Q*.

***

*P*
Density functional theory data (GGA-PBE) for a relaxed LaTb5Nd2 crystal.

The structure in extended XYZ format:
```
32
Lattice="8.687 0.000 0.000 -1.964 11.285 0.000 -3.930 -2.030 11.026" Properties=species:S:1:pos:R:3 pbc="T T T"
La -1.565 4.049 2.630
La -1.597 2.731 8.128
La 4.390 6.524 2.898
La 4.357 5.206 8.396
Tb -4.238 2.049 10.435
Tb -1.506 0.957 4.559
Tb -0.165 0.948 1.479
Tb -2.026 9.176 3.748
Tb -1.938 6.206 5.861
Tb -2.004 7.869 9.045
Tb 0.177 3.717 5.407
Tb 0.585 6.852 3.340
Tb 1.984 6.760 0.126
Tb 2.121 3.761 2.359
Tb 0.671 5.494 8.667
Tb 0.809 2.495 10.900
Tb 2.207 2.404 7.687
Tb 2.615 5.538 5.619
Tb 4.797 1.386 1.981
Tb 4.730 3.049 5.165
Tb 4.818 0.079 7.278
Tb 2.957 8.307 9.547
Tb 4.298 8.298 6.467
Tb 7.030 7.207 0.591
Nd -1.496 -0.272 10.274
Nd -0.053 -0.491 7.073
Nd 0.593 9.930 1.292
Nd 2.126 0.734 4.448
Nd 0.666 8.521 6.578
Nd 2.199 -0.675 9.734
Nd 2.845 9.746 3.953
Nd 4.288 9.527 0.752
```

* total magnetization: 0.0 μB per cell

***

*Q*
Density functional theory data (GGA-PBE) for a relaxed LaTb5Nd2 crystal.

The structure in extended XYZ format:
```
16
Lattice="7.226 0.000 0.000 0.000 14.468 0.000 0.000 0.000 5.120" Properties=species:S:1:pos:R:3 pbc="T T T"
La 0.000 0.000 0.000
La 3.613 7.234 0.000
Tb 0.000 7.234 0.000
Tb 0.016 3.647 0.000
Tb 1.797 12.644 2.560
Tb 1.816 5.410 2.560
Tb 3.597 10.881 0.000
Tb 3.613 0.000 0.000
Tb 3.629 3.587 0.000
Tb 5.410 9.058 2.560
Tb 5.429 1.824 2.560
Tb 7.210 10.821 0.000
Nd 1.790 9.060 2.560
Nd 1.823 1.825 2.560
Nd 5.403 12.643 2.560
Nd 5.436 5.409 2.560
```

* total magnetization: 0.0 μB per cell

***

Name the most stable of them. *Q*.

***

*P*
Density functional theory data (GGA-PBE) for a relaxed La3Tb6Nd crystal.

The structure in extended XYZ format:
```
20
Lattice="5.544 -9.640 0.000 5.544 9.640 0.000 0.000 0.000 6.400" Properties=species:S:1:pos:R:3 pbc="T T T"
La 5.544 7.479 3.200
La 3.600 2.203 5.713
La 3.600 -2.203 2.513
La 7.487 2.203 5.713
La 7.487 -2.203 2.513
La 5.544 -7.479 0.000
Tb 2.658 4.046 1.922
Tb 1.870 0.873 3.041
Tb 1.870 -0.873 6.240
Tb 5.544 5.318 0.476
Tb 2.658 -4.046 5.122
Tb 5.544 0.706 1.907
Tb 5.544 -0.706 5.107
Tb 8.430 4.046 1.922
Tb 5.544 -5.318 3.676
Tb 9.217 0.873 3.041
Tb 9.217 -0.873 6.240
Tb 8.430 -4.046 5.122
Nd 5.544 3.707 3.519
Nd 5.544 -3.707 0.319
```

* total magnetization: 0.0 μB per cell

***

*Q*
Density functional theory data (GGA-PBE) for a relaxed La3Tb6Nd crystal.

The structure in extended XYZ format:
```
10
Lattice="5.011 2.893 3.901 -5.011 2.893 3.901 0.000 -5.786 3.901" Properties=species:S:1:pos:R:3 pbc="T T T"
La 0.000 0.000 0.000
La 0.000 0.000 2.908
La 0.000 0.000 8.793
Tb -3.375 -0.084 4.856
Tb -1.614 -2.965 6.831
Tb 1.760 -2.881 4.856
Tb -1.760 2.880 6.831
Tb 1.615 2.965 4.856
Tb 3.375 0.084 6.831
Nd 0.000 0.000 5.853
```

* total magnetization: 0.0 μB per cell

***

Name the most stable of them. *P*.

***

*P*
Density functional theory data (GGA-PBE) for a relaxed LaTb9Nd2 crystal.

The structure in extended XYZ format:
```
12
Lattice="11.398 0.000 0.000 -5.699 9.871 0.000 0.000 0.000 3.536" Properties=species:S:1:pos:R:3 pbc="T T T"
La 0.000 0.000 0.000
Tb -2.850 4.936 0.000
Tb 0.000 3.477 1.768
Tb -2.688 8.133 1.768
Tb 3.011 1.738 1.768
Tb 5.699 0.000 0.000
Tb 2.850 4.936 0.000
Tb 2.688 8.133 1.768
Tb 8.387 1.738 1.768
Tb 5.699 6.395 1.768
Nd 0.000 6.581 0.000
Nd 5.699 3.290 0.000
```

* total magnetization: 0.0 μB per cell

***

*Q*
Density functional theory data (GGA-PBE) for a relaxed LaTb9Nd2 crystal.

The structure in extended XYZ format:
```
12
Lattice="5.087 0.000 0.000 0.000 5.087 0.000 0.000 0.000 15.267" Properties=species:S:1:pos:R:3 pbc="T T T"
La 0.000 0.000 0.000
Tb 0.000 2.544 2.569
Tb 0.000 2.544 7.634
Tb 0.000 2.544 12.698
Tb 2.544 0.000 2.569
Tb 2.544 0.000 7.634
Tb 2.544 0.000 12.698
Tb 2.544 2.544 0.000
Tb 2.544 2.544 5.104
Tb 2.544 2.544 10.163
Nd 0.000 0.000 5.089
Nd 0.000 0.000 10.178
```

* total magnetization: 0.0 μB per cell

***

Name the most stable of them. *Q*.